Record 1
The following is a DFT calculation (GGA-PBE) of MoP2IrN after structural relaxation.

a b c (Å): 4.764 4.764 3.727
angles (deg): 90.00 90.00 90.00
Positions (direct):
Mo 0.000 0.000 0.000
P 0.000 0.500 0.000
P 0.500 0.000 0.000
Ir 0.500 0.500 0.500
N 0.000 0.000 0.500

Summary:
calculated density	7.15	g/cm³
D(E_F)	0.905	states/eV per atom
spin magnetization	0.00	μB/f.u.
formation energy (no corrections)	1.0273	eV per atom



Record 2
The following is a DFT calculation (GGA-PBE) of PmHoSi4 after structural relaxation.

a b c (Å): 5.365 5.365 5.365
angles (deg): 60.00 60.00 60.00
Positions (direct):
Pm 0.000 0.000 0.000
Ho 0.750 0.750 0.750
Si 0.376 0.376 0.376
Si 0.376 0.376 0.871
Si 0.376 0.871 0.376
Si 0.871 0.376 0.376

Summary:
calculated density	6.42	g/cm³
D(E_F)	0.690	states/eV per atom
spin magnetization	0.00	μB/f.u.
E above lowest polymorph	148.4	meV per atom
formation energy (no corrections)	-0.2956	eV per atom



Record 3
The following is a DFT calculation (GGA-PBE) of DyY2Au after structural relaxation.

a b c (Å): 11.072 11.072 11.072
angles (deg): 18.99 18.99 18.99
Positions (direct):
Dy 0.000 0.000 0.000
Y 0.104 0.104 0.104
Y 0.896 0.896 0.896
Au 0.500 0.500 0.500

Summary:
calculated density	7.10	g/cm³
D(E_F)	1.332	states/eV per atom
spin magnetization	0.61	μB/f.u.
energy of formation from the pure elements	-0.20	eV per formula unit
E above lowest polymorph	403.9	meV per atom